Here is TaAgSe2 at its PBEsol-relaxed geometry from the Alexandria database. Energies are from meta-GGA SCAN.

a = 3.176 Å, b = 3.176 Å, c = 9.412 Å
α = 80.29°, β = 80.29°, γ = 60.00°
Fractional coordinates of all 4 atoms:
Ta1 0.499 0.499 0.504
Se1 0.987 0.987 0.040
Se2 0.769 0.769 0.694
Ag1 0.246 0.246 0.262

Properties
* SG: R3m (160)
* mass density: 9.197 g/cm3
* M_tot: 0.00 μB/f.u.
* crystal system: trigonal
* total DFT energy (no corrections): -138.0 eV per cell

Here is KSb2P at its PBEsol-relaxed geometry from the Alexandria database. Energies are from meta-GGA SCAN.

a = 3.092 Å, b = 5.963 Å, c = 5.963 Å
α = 116.17°, β = 90.00°, γ = 90.00°
Fractional coordinates of all 4 atoms:
P1 0.500 0.500 0.500
K1 0.500 0.000 0.000
Sb1 0.000 0.500 0.000
Sb2 0.000 0.000 0.500

Properties
* SG: Cmmm (65)
* mass density: 5.278 g/cm3
* M_tot: 0.00 μB/f.u.
* crystal system: orthorhombic
* total DFT energy (no corrections): -92.0 eV per cell

Here is Fe3TeF at its PBEsol-relaxed geometry from the Alexandria database. Energies are from meta-GGA SCAN.

a = 4.135 Å, b = 4.135 Å, c = 4.135 Å
α = 90.00°, β = 90.00°, γ = 90.00°
Each line ends with the local moment (μB).
Fractional coordinates of all 5 atoms:
Te1 0.500 0.500 0.500  0.13
Fe1 0.500 0.000 0.000  3.05
Fe2 0.000 0.000 0.500  3.05
Fe3 0.000 0.500 0.000  3.05
F1 0.000 0.000 0.000  0.11

Properties
* SG: Pm-3m (221)
* mass density: 7.377 g/cm3
* M_tot: 9.28 μB/f.u.
* crystal system: cubic
* total DFT energy (no corrections): -95.2 eV per cell

Here is CrIrAu at its PBEsol-relaxed geometry from the Alexandria database. Energies are from meta-GGA SCAN.

a = 2.755 Å, b = 3.645 Å, c = 4.823 Å
α = 112.20°, β = 106.60°, γ = 90.00°
Each line ends with the local moment (μB).
Fractional coordinates of all 3 atoms:
Au1 0.002 0.002 0.004  -0.05
Cr1 0.682 0.682 0.364  2.25
Ir1 0.316 0.316 0.632  -0.46

Properties
* SG: Imm2 (44)
* mass density: 17.173 g/cm3
* energy of formation from the pure elements: 0.008 eV/atom
* M_tot: 1.83 μB/f.u.
* crystal system: orthorhombic
* total DFT energy (no corrections): -158.6 eV per cell

Here is Re2AgIr at its PBEsol-relaxed geometry from the Alexandria database. Energies are from meta-GGA SCAN.

a = 2.705 Å, b = 4.843 Å, c = 4.843 Å
α = 112.45°, β = 90.00°, γ = 90.00°
Fractional coordinates of all 4 atoms:
Ir1 0.500 0.500 0.500
Re1 0.000 0.500 0.000
Re2 0.000 0.000 0.500
Ag1 0.500 0.000 0.000

Properties
* SG: Cmmm (65)
* mass density: 19.051 g/cm3
* energy of formation from the pure elements: 0.464 eV/atom
* M_tot: 0.00 μB/f.u.
* crystal system: orthorhombic
* relative energy among the computed polymorphs: 0.0 kJ/mol of atoms
* total DFT energy (no corrections): -242.8 eV per cell

Here is NiIrRu2 at its PBEsol-relaxed geometry from the Alexandria database. Energies are from meta-GGA SCAN.

a = 4.213 Å, b = 4.213 Å, c = 4.213 Å
α = 60.00°, β = 60.00°, γ = 60.00°
Each line ends with the local moment (μB).
Fractional coordinates of all 4 atoms:
Ir1 0.000 0.000 0.000  0.85
Ru1 0.750 0.750 0.750  0.62
Ru2 0.250 0.250 0.250  0.62
Ni1 0.500 0.500 0.500  0.75

Properties
* SG: Fm-3m (225)
* mass density: 14.228 g/cm3
* energy of formation from the pure elements: 0.423 eV/atom
* M_tot: 2.77 μB/f.u.
* crystal system: cubic
* relative energy among the computed polymorphs: 35.4 kJ/mol of atoms
* total DFT energy (no corrections): -155.2 eV per cell

Here is Cr2ReNi at its PBEsol-relaxed geometry from the Alexandria database. Energies are from meta-GGA SCAN.

a = 2.487 Å, b = 4.707 Å, c = 4.846 Å
α = 116.63°, β = 100.71°, γ = 98.38°
Each line ends with the local moment (μB).
Fractional coordinates of all 4 atoms:
Re1 0.000 0.500 0.000  0.00
Cr1 0.500 0.500 0.500  -0.11
Cr2 0.000 0.000 0.500  -0.11
Ni1 0.500 0.000 0.000  -0.38

Properties
* SG: C2/m (12)
* mass density: 12.044 g/cm3
* energy of formation from the pure elements: 0.120 eV/atom
* M_tot: 0.60 μB/f.u.
* crystal system: monoclinic
* total DFT energy (no corrections): -123.6 eV per cell

Here is Mg2ReTc at its PBEsol-relaxed geometry from the Alexandria database. Energies are from meta-GGA SCAN.

a = 2.775 Å, b = 4.619 Å, c = 5.230 Å
α = 94.40°, β = 90.00°, γ = 107.48°
Fractional coordinates of all 4 atoms:
Mg1 0.754 0.507 0.248
Mg2 0.997 0.993 0.003
Tc1 0.250 0.500 0.718
Re1 0.500 0.999 0.530

Properties
* SG: Cm (8)
* mass density: 8.674 g/cm3
* energy of formation from the pure elements: 0.211 eV/atom
* M_tot: 0.00 μB/f.u.
* crystal system: monoclinic
* relative energy among the computed polymorphs: 23.1 kJ/mol of atoms
* total DFT energy (no corrections): -115.3 eV per cell

Here is LaBe2Os at its PBEsol-relaxed geometry from the Alexandria database. Energies are from meta-GGA SCAN.

a = 3.118 Å, b = 4.482 Å, c = 4.482 Å
α = 106.84°, β = 90.19°, γ = 90.19°
Fractional coordinates of all 4 atoms:
Be1 0.000 0.500 0.000
Be2 0.000 0.000 0.500
Os1 0.500 0.000 0.000
La1 0.500 0.500 0.500

Properties
* SG: C2/m (12)
* mass density: 9.617 g/cm3
* energy of formation from the pure elements: 0.524 eV/atom
* M_tot: 0.00 μB/f.u.
* crystal system: monoclinic
* relative energy among the computed polymorphs: 0.0 kJ/mol of atoms
* total DFT energy (no corrections): -121.6 eV per cell

Here is CrAuO3 at its PBEsol-relaxed geometry from the Alexandria database. Energies are from meta-GGA SCAN.

a = 3.974 Å, b = 3.974 Å, c = 3.974 Å
α = 90.00°, β = 90.00°, γ = 90.00°
Each line ends with the local moment (μB).
Fractional coordinates of all 5 atoms:
O1 0.500 0.000 0.000  -0.10
O2 0.000 0.500 0.000  -0.10
O3 0.000 0.000 0.500  -0.10
Au1 0.000 0.000 0.000  -0.06
Cr1 0.500 0.500 0.500  3.92

Properties
* SG: Pm-3m (221)
* mass density: 7.855 g/cm3
* M_tot: 3.80 μB/f.u.
* crystal system: cubic
* total DFT energy (no corrections): -105.8 eV per cell

Here is Cd3Cu at its PBEsol-relaxed geometry from the Alexandria database. Energies are from meta-GGA SCAN.

a = 3.032 Å, b = 3.032 Å, c = 9.113 Å
α = 90.00°, β = 90.00°, γ = 120.00°
Fractional coordinates of all 4 atoms:
Cd1 0.333 0.667 0.275
Cd2 0.333 0.667 0.725
Cd3 0.000 0.000 0.000
Cu1 0.000 0.000 0.500

Properties
* SG: P-6m2 (187)
* mass density: 9.171 g/cm3
* energy of formation from the pure elements: 0.072 eV/atom
* M_tot: 0.00 μB/f.u.
* crystal system: hexagonal
* total DFT energy (no corrections): -106.2 eV per cell

Here is La2MgCd at its PBEsol-relaxed geometry from the Alexandria database. Energies are from meta-GGA SCAN.

a = 3.521 Å, b = 5.016 Å, c = 6.702 Å
α = 90.00°, β = 105.20°, γ = 90.00°
Fractional coordinates of all 4 atoms:
Mg1 0.314 0.000 0.504
La1 0.705 0.500 0.285
La2 0.044 0.000 0.963
Cd1 0.436 0.500 0.748

Properties
* SG: Amm2 (38)
* mass density: 6.025 g/cm3
* energy of formation from the pure elements: -0.241 eV/atom
* M_tot: 0.03 μB/f.u.
* crystal system: orthorhombic
* total DFT energy (no corrections): -122.6 eV per cell

- The lowest total DFT energy (no corrections) belongs to which entry?
  Re2AgIr

Copy entry 10 word for word.
Here is CrAuO3 at its PBEsol-relaxed geometry from the Alexandria database. Energies are from meta-GGA SCAN.

a = 3.974 Å, b = 3.974 Å, c = 3.974 Å
α = 90.00°, β = 90.00°, γ = 90.00°
Each line ends with the local moment (μB).
Fractional coordinates of all 5 atoms:
O1 0.500 0.000 0.000  -0.10
O2 0.000 0.500 0.000  -0.10
O3 0.000 0.000 0.500  -0.10
Au1 0.000 0.000 0.000  -0.06
Cr1 0.500 0.500 0.500  3.92

Properties
* SG: Pm-3m (221)
* mass density: 7.855 g/cm3
* M_tot: 3.80 μB/f.u.
* crystal system: cubic
* total DFT energy (no corrections): -105.8 eV per cell

- Which of these has the lowest total DFT energy (no corrections)?
  Re2AgIr